First-principles (PBE) data for a geometry-optimized Nd4TcN5 structure, as listed in the Alexandria database.

Output
- Symmetry: No. 79
- D(E_F): 3.043 states/eV/cell
- Formation energy without anion corrections: -0.932 eV per atom

a b c (Å): 5.1760 6.0962 6.0962
angles (deg): 79.62 64.88 64.88
Last column: nearest neighbours and their distance in Å.
Sites, in units of the cell vectors:
Nd 0.3942 0.4022 0.8043  6 N 2.43-2.66
Nd 0.7964 0.8043 0.5978  6 N 2.43-2.66
Nd 0.1985 0.1957 0.4022  6 N 2.43-2.66
Nd 0.6007 0.5978 0.1957  6 N 2.43-2.66
Tc 0.0452 0.0000 0.0000  1 N 2.01
N 0.9152 0.3753 0.8151  1 Tc 2.32, 3 Nd 2.43-2.53
N 0.2905 0.8151 0.6247  1 Tc 2.32, 3 Nd 2.43-2.53
N 0.7303 0.1849 0.3753  1 Tc 2.32, 3 Nd 2.43-2.53
N 0.1056 0.6247 0.1849  1 Tc 2.32, 3 Nd 2.43-2.53
N 0.4336 0.0000 0.0000  1 Tc 2.01



First-principles (PBE) data for a geometry-optimized Nd3Tc2N7 structure, as listed in the Alexandria database.

Output
- Symmetry: No. 65
- D(E_F): 3.104 states/eV/cell
- Formation energy without anion corrections: -0.466 eV per atom

a b c (Å): 3.8242 4.0202 10.3825
angles (deg): 101.16 90.00 90.00
Last column: nearest neighbours and their distance in Å.
Sites, in units of the cell vectors:
Nd 0.5000 0.5000 0.0000  12 N 2.72-2.90
Nd 0.5000 0.6809 0.3618  8 N 2.57-2.80
Nd 0.5000 0.3191 0.6382  8 N 2.57-2.80
Tc 0.0000 0.9010 0.8020  6 N 1.91-2.06
Tc 0.0000 0.0990 0.1980  6 N 1.91-2.06
N 0.0000 0.4049 0.8097  2 Tc 2.01
N 0.0000 0.7998 0.5995  1 Tc 2.06
N 0.0000 0.0000 0.0000  2 Tc 2.02
N 0.0000 0.5951 0.1903  2 Tc 2.01
N 0.5000 0.1023 0.2046  2 Tc 1.91
N 0.5000 0.8977 0.7954  2 Tc 1.91
N 0.0000 0.2002 0.4005  1 Tc 2.06



First-principles (PBE) data for a geometry-optimized Nd2TcN structure, as listed in the Alexandria database.

Output
- Symmetry: No. 166
- D(E_F): 3.573 states/eV/cell
- Formation energy without anion corrections: 0.077 eV per atom

a b c (Å): 3.4334 3.4334 8.6808
angles (deg): 78.59 78.59 60.00
Last column: nearest neighbours and their distance in Å.
Sites, in units of the cell vectors:
Nd 0.1089 0.1089 0.6732  3 N 2.46
Nd 0.8911 0.8911 0.3268  3 N 2.46
Tc 0.0000 0.0000 0.0000  2 Nd 2.76
N 0.5000 0.5000 0.5000  6 Nd 2.46



First-principles (PBE) data for a geometry-optimized NdTc2N4 structure, as listed in the Alexandria database.

Output
- Symmetry: No. 63
- D(E_F): 5.712 states/eV/cell
- Formation energy without anion corrections: -0.360 eV per atom

a b c (Å): 3.2693 5.1991 10.0342
angles (deg): 90.00 90.00 108.33
Last column: nearest neighbours and their distance in Å.
Sites, in units of the cell vectors:
Nd 0.6258 0.2516 0.7500  6 N 2.49-2.54
Nd 0.3742 0.7484 0.2500  6 N 2.49-2.54
Tc 0.1144 0.2288 0.4369  4 N 1.92-2.09
Tc 0.8856 0.7712 0.9369  4 N 1.92-2.09
Tc 0.1144 0.2288 0.0631  4 N 1.92-2.09
Tc 0.8856 0.7712 0.5631  4 N 1.92-2.09
N 0.7579 0.5159 0.1021  3 Tc 2.08-2.20
N 0.7579 0.5159 0.3979  3 Tc 2.08-2.20
N 0.2421 0.4841 0.8979  3 Tc 2.08-2.20
N 0.2421 0.4841 0.6021  3 Tc 2.08-2.20
N 0.9287 0.8573 0.7500  2 Tc 1.92
N 0.0713 0.1427 0.2500  2 Tc 1.92
N 0.5000 0.0000 0.0000  4 Tc 2.09
N 0.5000 0.0000 0.5000  4 Tc 2.09



First-principles (PBE) data for a geometry-optimized Nd5TcN6 structure, as listed in the Alexandria database.

Output
- Symmetry: No. 12
- D(E_F): 2.053 states/eV/cell
- Formation energy without anion corrections: -0.996 eV per atom

a b c (Å): 6.1233 6.1444 6.1359
angles (deg): 59.95 80.37 70.47
Last column: nearest neighbours and their distance in Å.
Sites, in units of the cell vectors:
Nd 0.5000 0.1640 0.6721  6 N 2.46-2.67
Nd 0.0000 0.3328 0.3345  6 N 2.50-2.53
Nd 0.5000 0.5000 0.0000  6 N 2.51-2.61
Nd 0.0000 0.6672 0.6655  6 N 2.50-2.53
Nd 0.5000 0.8360 0.3279  6 N 2.46-2.67
Tc 0.0000 0.0000 0.0000  6 N 2.35-2.40
N 0.7648 0.0782 0.3134  1 Tc 2.35, 4 Nd 2.50-2.51
N 0.2352 0.6084 0.3134  1 Tc 2.35, 4 Nd 2.50-2.51
N 0.2445 0.2350 0.0000  1 Tc 2.40, 5 Nd 2.46-2.61
N 0.7555 0.7650 0.0000  1 Tc 2.40, 5 Nd 2.46-2.61
N 0.7648 0.3916 0.6866  1 Tc 2.35, 4 Nd 2.50-2.51
N 0.2352 0.9218 0.6866  1 Tc 2.35, 4 Nd 2.50-2.51



First-principles (PBE) data for a geometry-optimized Nd12Tc3N5 structure, as listed in the Alexandria database.

Output
- Symmetry: No. 230
- D(E_F): 39.864 states/eV/cell
- Formation energy without anion corrections: -0.507 eV per atom

a b c (Å): 13.6456 13.6456 13.6456
angles (deg): 109.47 109.47 109.47
Last column: nearest neighbours and their distance in Å.
Sites, in units of the cell vectors:
Tc 0.7500 0.3750 0.1250  8 Nd 2.98-3.16
Tc 0.8750 0.7500 0.1250  8 Nd 2.98-3.16
Tc 0.3750 0.7500 0.6250  8 Nd 2.98-3.16
Tc 0.2500 0.1250 0.3750  8 Nd 2.98-3.16
Tc 0.8750 0.1250 0.2500  8 Nd 2.98-3.16
Tc 0.3750 0.6250 0.2500  8 Nd 2.98-3.16
Tc 0.6250 0.3750 0.7500  8 Nd 2.98-3.16
Tc 0.1250 0.8750 0.7500  8 Nd 2.98-3.16
Tc 0.7500 0.8750 0.6250  8 Nd 2.98-3.16
Tc 0.6250 0.2500 0.3750  8 Nd 2.98-3.16
Tc 0.1250 0.2500 0.8750  8 Nd 2.98-3.16
Tc 0.2500 0.6250 0.8750  8 Nd 2.98-3.16
N 0.1250 0.3750 0.2500  4 Nd 2.33
N 0.0000 0.5000 0.0000  6 Nd 2.57
N 0.0000 0.0000 0.0000  6 Nd 2.57
N 0.3750 0.2500 0.1250  4 Nd 2.33
N 0.5000 0.0000 0.5000  6 Nd 2.57
N 0.5000 0.5000 0.0000  6 Nd 2.57
N 0.1250 0.7500 0.3750  4 Nd 2.33
N 0.7500 0.1250 0.8750  4 Nd 2.33
N 0.7500 0.6250 0.3750  4 Nd 2.33
N 0.3750 0.1250 0.7500  4 Nd 2.33
N 0.6250 0.8750 0.2500  4 Nd 2.33
N 0.5000 0.5000 0.5000  6 Nd 2.57
N 0.5000 0.0000 0.0000  6 Nd 2.57
N 0.0000 0.0000 0.5000  6 Nd 2.57
N 0.2500 0.3750 0.6250  4 Nd 2.33
N 0.2500 0.8750 0.1250  4 Nd 2.33
N 0.0000 0.5000 0.5000  6 Nd 2.57
N 0.8750 0.2500 0.6250  4 Nd 2.33
N 0.6250 0.7500 0.8750  4 Nd 2.33
N 0.8750 0.6250 0.7500  4 Nd 2.33
Nd 0.7049 0.1243 0.0253  2 N 2.33-2.57
Nd 0.3205 0.5253 0.4010  2 N 2.33-2.57
Nd 0.9747 0.3757 0.2951  2 N 2.33-2.57
Nd 0.5253 0.2049 0.1243  2 N 2.33-2.57
Nd 0.5806 0.7049 0.6795  2 N 2.33-2.57
Nd 0.9747 0.5990 0.1795  2 N 2.33-2.57
Nd 0.3205 0.7951 0.4194  2 N 2.33-2.57
Nd 0.0990 0.9194 0.1243  2 N 2.33-2.57
Nd 0.5990 0.9747 0.6795  2 N 2.33-2.57
Nd 0.7049 0.5806 0.1795  2 N 2.33-2.57
Nd 0.7951 0.4747 0.3757  2 N 2.33-2.57
Nd 0.8205 0.9010 0.0253  2 N 2.33-2.57
Nd 0.1243 0.7049 0.5253  2 N 2.33-2.57
Nd 0.3757 0.4010 0.0806  2 N 2.33-2.57
Nd 0.0806 0.9010 0.3757  2 N 2.33-2.57
Nd 0.4194 0.1243 0.5990  2 N 2.33-2.57
Nd 0.0806 0.1795 0.2049  2 N 2.33-2.57
Nd 0.4747 0.6795 0.0990  2 N 2.33-2.57
Nd 0.8205 0.9194 0.2951  2 N 2.33-2.57
Nd 0.1243 0.4194 0.0990  2 N 2.33-2.57
Nd 0.3757 0.9747 0.7951  2 N 2.33-2.57
Nd 0.5990 0.6243 0.4194  2 N 2.33-2.57
Nd 0.9010 0.8205 0.5253  2 N 2.33-2.57
Nd 0.7951 0.3205 0.9194  2 N 2.33-2.57
Nd 0.4010 0.3757 0.5806  2 N 2.33-2.57
Nd 0.0990 0.1795 0.4747  2 N 2.33-2.57
Nd 0.2049 0.6795 0.0806  2 N 2.33-2.57
Nd 0.1795 0.0806 0.7049  2 N 2.33-2.57
Nd 0.6243 0.0253 0.2049  2 N 2.33-2.57
Nd 0.8757 0.5806 0.9010  2 N 2.33-2.57
Nd 0.5253 0.3205 0.9010  2 N 2.33-2.57
Nd 0.5806 0.8757 0.4010  2 N 2.33-2.57
Nd 0.9194 0.8205 0.7951  2 N 2.33-2.57
Nd 0.9194 0.0990 0.6243  2 N 2.33-2.57
Nd 0.8757 0.2951 0.4747  2 N 2.33-2.57
Nd 0.1795 0.0990 0.9747  2 N 2.33-2.57
Nd 0.6243 0.5990 0.9194  2 N 2.33-2.57
Nd 0.4010 0.0253 0.3205  2 N 2.33-2.57
Nd 0.2951 0.4194 0.8205  2 N 2.33-2.57
Nd 0.2049 0.5253 0.6243  2 N 2.33-2.57
Nd 0.9010 0.0806 0.8757  2 N 2.33-2.57
Nd 0.6795 0.2049 0.5806  2 N 2.33-2.57
Nd 0.4747 0.7951 0.8757  2 N 2.33-2.57
Nd 0.0253 0.4010 0.8205  2 N 2.33-2.57
Nd 0.4194 0.2951 0.3205  2 N 2.33-2.57
Nd 0.0253 0.6243 0.7049  2 N 2.33-2.57
Nd 0.6795 0.4747 0.5990  2 N 2.33-2.57
Nd 0.2951 0.8757 0.9747  2 N 2.33-2.57



First-principles (PBE) data for a geometry-optimized Nd3TcN5 structure, as listed in the Alexandria database.

Output
- Symmetry: No. 140
- D(E_F): 1.471 states/eV/cell
- Formation energy without anion corrections: -0.928 eV per atom

a b c (Å): 6.7936 6.7936 7.5056
angles (deg): 116.91 116.91 90.00
Last column: nearest neighbours and their distance in Å.
Sites, in units of the cell vectors:
Nd 0.6732 0.1732 0.0000  4 N 2.43-2.51
Nd 0.3268 0.8268 0.0000  4 N 2.43-2.51
Nd 0.8268 0.6732 0.0000  4 N 2.43-2.51
Nd 0.1732 0.3268 0.0000  4 N 2.43-2.51
Nd 0.2500 0.2500 0.5000  10 N 2.83-2.88
Nd 0.7500 0.7500 0.5000  10 N 2.83-2.88
Tc 0.7500 0.2500 0.5000  4 N 1.84
Tc 0.2500 0.7500 0.5000  4 N 1.84
N 0.9996 0.4996 0.7003  1 Tc 1.84
N 0.7007 0.2007 0.7003  1 Tc 1.84
N 0.2007 0.9996 0.7003  1 Tc 1.84
N 0.4996 0.7007 0.7003  1 Tc 1.84
N 0.0004 0.5004 0.2997  1 Tc 1.84
N 0.2993 0.7993 0.2997  1 Tc 1.84
N 0.7993 0.0004 0.2997  1 Tc 1.84
N 0.5004 0.2993 0.2997  1 Tc 1.84
N 0.5000 0.5000 0.0000  4 Nd 2.51
N 0.0000 0.0000 0.0000  4 Nd 2.51



First-principles (PBE) data for a geometry-optimized Nd2Tc2N5 structure, as listed in the Alexandria database.

Output
- Symmetry: No. 46
- D(E_F): 9.398 states/eV/cell
- Formation energy without anion corrections: -0.637 eV per atom

a b c (Å): 5.7166 5.5447 8.7988
angles (deg): 108.37 108.96 90.00
Last column: nearest neighbours and their distance in Å.
Sites, in units of the cell vectors:
Nd 0.8779 0.3766 0.7825  6 N 2.44-2.70
Nd 0.1221 0.5941 0.2175  6 N 2.44-2.70
Nd 0.4046 0.8766 0.7825  6 N 2.44-2.70
Nd 0.5954 0.0941 0.2175  6 N 2.44-2.70
Tc 0.0000 0.9878 0.0000  6 N 1.99-2.20
Tc 0.5000 0.4878 0.0000  6 N 1.99-2.20
Tc 0.8069 0.7888 0.5000  4 N 1.88-1.96
Tc 0.1931 0.2888 0.5000  4 N 1.88-1.96
N 0.7580 0.7506 0.0191  2 Tc 1.99-2.00
N 0.2420 0.7315 0.9809  2 Tc 1.99-2.00
N 0.7611 0.2506 0.0191  2 Tc 1.99-2.00
N 0.2389 0.2315 0.9809  2 Tc 1.99-2.00
N 0.8071 0.8491 0.7225  1 Tc 1.88
N 0.1929 0.1266 0.2775  1 Tc 1.88
N 0.4154 0.3491 0.7225  1 Tc 1.88
N 0.5846 0.6266 0.2775  1 Tc 1.88
N 0.8859 0.1309 0.5000  2 Tc 1.95-1.96
N 0.1141 0.6309 0.5000  2 Tc 1.95-1.96



First-principles (PBE) data for a geometry-optimized NdTh2TcN4 structure, as listed in the Alexandria database.

Output
- Symmetry: No. 63
- D(E_F): 4.002 states/eV/cell
- Formation energy without anion corrections: -1.084 eV per atom

a b c (Å): 3.4909 6.3619 11.9097
angles (deg): 90.00 90.00 105.92
Last column: nearest neighbours and their distance in Å.
Sites, in units of the cell vectors:
Nd 0.1158 0.2315 0.7500  6 N 2.59-2.66
Nd 0.8842 0.7685 0.2500  6 N 2.59-2.66
Th 0.3683 0.7365 0.5515  6 N 2.43-2.61
Th 0.6317 0.2635 0.0515  6 N 2.43-2.61
Th 0.6317 0.2635 0.4485  6 N 2.43-2.61
Th 0.3683 0.7365 0.9485  6 N 2.43-2.61
Tc 0.8539 0.7078 0.7500  4 N 2.13-2.17
Tc 0.1461 0.2922 0.2500  4 N 2.13-2.17
N 0.2722 0.5444 0.1270  1 Tc 2.13
N 0.7278 0.4556 0.6270  1 Tc 2.13
N 0.7278 0.4556 0.8730  1 Tc 2.13
N 0.2722 0.5444 0.3730  1 Tc 2.13
N 0.0000 0.0000 0.5000  4 Th 2.45
N 0.0000 0.0000 0.0000  4 Th 2.45
N 0.4592 0.9184 0.7500  2 Tc 2.17
N 0.5408 0.0816 0.2500  2 Tc 2.17



First-principles (PBE) data for a geometry-optimized Nd2TiTc2N6 structure, as listed in the Alexandria database.

Output
- Symmetry: No. 166
- D(E_F): 2.501 states/eV/cell
- Formation energy without anion corrections: -0.557 eV per atom

a b c (Å): 5.9255 5.9255 6.3739
angles (deg): 62.30 62.30 60.00
Last column: nearest neighbours and their distance in Å.
Sites, in units of the cell vectors:
Nd 0.7965 0.7965 0.6106  3 N 2.52
Nd 0.2035 0.2035 0.3894  3 N 2.52
Ti 0.0000 0.0000 0.0000  6 N 2.05
Tc 0.4310 0.4310 0.7071  3 N 1.87
Tc 0.5690 0.5690 0.2929  3 N 1.87
N 0.7653 0.7653 0.2441  1 Tc 1.87, 1 Ti 2.05
N 0.2254 0.7653 0.2441  1 Tc 1.87, 1 Ti 2.05
N 0.7653 0.2254 0.2441  1 Tc 1.87, 1 Ti 2.05
N 0.2347 0.7746 0.7559  1 Tc 1.87, 1 Ti 2.05
N 0.7746 0.2347 0.7559  1 Tc 1.87, 1 Ti 2.05
N 0.2347 0.2347 0.7559  1 Tc 1.87, 1 Ti 2.05



First-principles (PBE) data for a geometry-optimized NdTm2TcN4 structure, as listed in the Alexandria database.

Output
- Symmetry: No. 63
- D(E_F): 3.139 states/eV/cell
- Formation energy without anion corrections: -1.136 eV per atom

a b c (Å): 3.4370 6.0510 11.4644
angles (deg): 90.00 90.00 106.50
Last column: nearest neighbours and their distance in Å.
Sites, in units of the cell vectors:
Nd 0.1225 0.2450 0.7500  6 N 2.61-2.71
Nd 0.8775 0.7550 0.2500  6 N 2.61-2.71
Tm 0.3688 0.7376 0.5398  5 N 2.25-2.49
Tm 0.6312 0.2624 0.0398  5 N 2.25-2.49
Tm 0.6312 0.2624 0.4602  5 N 2.25-2.49
Tm 0.3688 0.7376 0.9602  5 N 2.25-2.49
Tc 0.8595 0.7189 0.7500  4 N 1.97-2.01
Tc 0.1405 0.2811 0.2500  4 N 1.97-2.01
N 0.2621 0.5242 0.1246  1 Tc 2.01, 1 Tm 2.25
N 0.7379 0.4758 0.6246  1 Tc 2.01, 1 Tm 2.25
N 0.7379 0.4758 0.8754  1 Tc 2.01, 1 Tm 2.25
N 0.2621 0.5242 0.3754  1 Tc 2.01, 1 Tm 2.25
N 0.0000 0.0000 0.5000  4 Tm 2.34
N 0.0000 0.0000 0.0000  4 Tm 2.34
N 0.4418 0.8836 0.7500  2 Tc 1.97
N 0.5582 0.1164 0.2500  2 Tc 1.97



First-principles (PBE) data for a geometry-optimized Nd2VTcN5 structure, as listed in the Alexandria database.

Output
- Symmetry: No. 36
- D(E_F): 4.809 states/eV/cell
- Formation energy without anion corrections: -0.887 eV per atom

a b c (Å): 3.3885 7.1360 9.9588
angles (deg): 90.00 90.00 103.73
Last column: nearest neighbours and their distance in Å.
Sites, in units of the cell vectors:
Nd 0.8647 0.7295 0.8105  7 N 2.53-2.63
Nd 0.1188 0.2375 0.6828  8 N 2.47-2.74
Nd 0.1353 0.2705 0.3105  7 N 2.53-2.63
Nd 0.8812 0.7625 0.1828  8 N 2.47-2.74
V 0.5569 0.1139 0.9479  4 N 1.75-1.89
V 0.4431 0.8861 0.4479  4 N 1.75-1.89
Tc 0.7902 0.5804 0.5272  3 N 1.91-2.06
Tc 0.2098 0.4196 0.0272  3 N 1.91-2.06
N 0.3467 0.6933 0.0085  1 Tc 1.91
N 0.6822 0.3644 0.8806  1 V 1.86
N 0.4993 0.9986 0.7914  1 V 1.75
N 0.2972 0.5944 0.6451  2 Tc 2.06
N 0.9584 0.9167 0.5300  2 V 1.89
N 0.6533 0.3067 0.5085  1 Tc 1.91
N 0.3178 0.6356 0.3806  1 V 1.86
N 0.5007 0.0014 0.2914  1 V 1.75
N 0.7028 0.4056 0.1451  2 Tc 2.06
N 0.0416 0.0833 0.0300  2 V 1.89